RbSi2AsO: optimized geometry, PBE.

- N(E_F) (states/eV/cell) = 0.63
- energy relative to the elements, uncorrected (eV per formula unit) = 1.086
- total energy (eV per atom) = -4.0671
- calculated density (g/cm³) = 3.88

Lattice parameters (Å, degrees): 4.3912 5.1595 4.3912 90.00 90.00 90.00
Atoms (fractional coordinates):
O 0.0000 0.0000 0.0000
As 0.5000 0.5000 0.5000
Si 0.0000 0.0000 0.5000
Si 0.5000 0.0000 0.0000
Rb 0.0000 0.5000 0.0000